This record from Alexandria via LeMat-Bulk describes a relaxed structure of ThFeSi2. The functional is PBE.

The structure in extended XYZ format:
```
8
Lattice="2.025 -8.427 0.000 2.025 8.427 0.000 0.000 0.000 4.106" Properties=species:S:1:pos:R:3 pbc="T T T"
Th 2.025 5.986 0.000
Th 2.025 -5.986 0.000
Fe 2.025 1.220 2.053
Fe 2.025 -1.220 2.053
Si 0.000 0.000 2.053
Si 2.025 3.519 2.053
Si 2.025 0.000 0.000
Si 2.025 -3.519 2.053
```

Output
- formation energy from raw total energies (eV per formula unit) = -2.7
- raw total energy (Ry per atom) = -0.5406
- space-group type = Cmmm (65)

This record from Alexandria via LeMat-Bulk describes a relaxed structure of RbPIO2. The functional is PBE.

The structure in extended XYZ format:
```
5
Lattice="4.295 0.000 0.000 0.000 4.295 0.000 0.000 0.000 5.431" Properties=species:S:1:pos:R:3 pbc="T T T"
Rb 0.000 0.000 0.000
P 2.148 2.148 2.715
I 2.148 2.148 0.000
O 0.000 2.148 2.715
O 2.148 0.000 2.715
```

Output
- formation energy from raw total energies (eV per formula unit) = -0.9
- distance to the lowest polymorph of the same formula (kJ per mole of atoms) = 0.0
- raw total energy (Ry per atom) = -0.2757
- space-group type = P4/mmm (123)

This record from Alexandria via LeMat-Bulk describes a relaxed structure of AlOsPt. The functional is PBE.

The structure in extended XYZ format:
```
3
Lattice="0.000 2.316 6.438 1.494 0.000 6.438 1.494 2.316 0.000" Properties=species:S:1:pos:R:3 pbc="T T T"
Al 0.000 0.000 0.000
Os 1.494 2.316 8.446
Pt 1.494 2.316 4.427
```

Output
- distance to the lowest polymorph of the same formula (kJ per mole of atoms) = 18.0
- raw total energy (Ry per atom) = -0.5230
- space-group type = Fmm2 (42)
- E_form (kJ/mol of atoms) = -11

This record from Alexandria via LeMat-Bulk describes a relaxed structure of Al2FeTc2. The functional is PBE.

The structure in extended XYZ format:
```
10
Lattice="6.148 0.000 0.000 0.000 6.148 0.000 0.000 0.000 4.025" Properties=species:S:1:pos:R:3 pbc="T T T"
Al 1.029 2.045 0.000
Al 2.045 5.119 0.000
Al 4.103 1.029 0.000
Al 5.119 4.103 0.000
Fe 0.000 0.000 2.012
Fe 3.074 3.074 2.012
Tc 0.862 3.936 2.012
Tc 2.212 0.862 2.012
Tc 3.936 5.286 2.012
Tc 5.286 2.212 2.012
```

Output
- distance to the lowest polymorph of the same formula (kJ per mole of atoms) = 22.2
- raw total energy (Ry per atom) = -0.5260
- space-group type = P4/mbm (127)
- E_form (kJ/mol of atoms) = 17

This record from Alexandria via LeMat-Bulk describes a relaxed structure of Y3CoAu. The functional is PBE.

The structure in extended XYZ format:
```
5
Lattice="5.118 0.000 0.000 0.000 5.118 0.000 0.000 0.000 5.118" Properties=species:S:1:pos:R:3 pbc="T T T"
Y 0.000 0.000 2.559
Y 0.000 2.559 0.000
Y 2.559 0.000 0.000
Co 0.000 0.000 0.000
Au 2.559 2.559 2.559
```

Output
- distance to the lowest polymorph of the same formula (kJ per mole of atoms) = 22.6
- raw total energy (Ry per atom) = -0.4501
- space-group type = Pm-3m (221)
- E_form (kJ/mol of atoms) = -16

This record from Alexandria via LeMat-Bulk describes a relaxed structure of Pm2PrHoSb4. The functional is PBE.

The structure in extended XYZ format:
```
8
Lattice="7.755 0.000 0.000 0.000 4.482 0.000 -2.588 0.000 7.315" Properties=species:S:1:pos:R:3 pbc="T T T"
Pm 0.000 0.000 0.000
Pm 3.877 2.241 0.000
Pr -1.294 2.241 3.657
Ho 2.584 0.000 3.657
Sb 0.040 0.000 5.485
Sb 1.333 2.241 1.859
Sb 3.834 2.241 5.456
Sb 5.127 0.000 1.829
```

Output
- formation energy from raw total energies (eV per formula unit) = -9.3
- raw total energy (Ry per atom) = -0.4102
- space-group type = P2/m (10)

no.,M_tot (μB/f.u.)
1,0.4
2,0.6
3,0.0
4,0.0
5,0.0
6,0.0